An optimized crystal structure of Sc3GaN, computed with PBE-GGA.

Raw total energy in eV/atom: -6.583

abc: 6.4107 6.4107 19.2336
angles: 90.00 90.00 120.00
Space group R-3c (No. 167, hexagonal axes)
Symmetry-distinct sites (fractional):
Sc  0.0000  0.3075  0.2500 x18
Ga  0.0000  0.0000  0.0000 x6
N  0.0000  0.0000  0.2500 x6



An optimized crystal structure of Ca3W2N4, computed with PBE-GGA.

Energy above the most stable polymorph in this dataset in meV/atom: 0

abc: 6.0044 10.0688 9.3306
angles: 90.00 90.00 90.00
Space group Pnna (No. 52)
Symmetry-distinct sites (fractional):
Ca  0.1129  0.1566  0.0755 x8
Ca  0.2500  0.0000  0.3926 x4
W  0.0739  0.2500  0.7500 x4
W  0.2500  0.0000  0.7269 x4
N  0.0066  0.5685  0.3416 x8
N  0.2410  0.6632  0.9007 x8



An optimized crystal structure of LiCuMo2, computed with PBE-GGA.

Energy above the most stable polymorph in this dataset in meV/atom: 0
Formation energy from the elements in meV/atom: 175

abc: 3.1545 4.2198 8.9113
angles: 90.00 90.00 90.00
Space group Cmm2 (No. 35)
Symmetry-distinct sites (fractional):
Li  0.0000  0.0000  0.0000 x2
Cu  0.0000  0.5000  0.2346 x2
Mo  0.0000  0.0000  0.4753 x2
Mo  0.0000  0.5000  0.7310 x2